{"formula": "Sc2H4Ru", "functional": "PBE", "state": "relaxed", "lattice": [[-0.7757, 3.5730, -3.3400], [-4.1702, -1.6769, -0.8254], [-2.3941, 3.3124, 5.3663]], "species": ["Sc", "Sc", "Sc", "Sc", "H", "H", "H", "H", "H", "H", "H", "H", "Ru", "Ru"], "frac_coords": [[0.7611, 0.7500, 0.0235], [0.2389, 0.2500, 0.9765], [0.2675, 0.2500, 0.4621], [0.7325, 0.7500, 0.5379], [0.5398, 0.4818, 0.2606], [0.1865, 0.7500, 0.9766], [0.8135, 0.2500, 0.0234], [0.5398, 0.0182, 0.2606], [0.0164, 0.2500, 0.6830], [0.4602, 0.9818, 0.7394], [0.4602, 0.5182, 0.7394], [0.9836, 0.7500, 0.3170], [0.2931, 0.7500, 0.2347], [0.7069, 0.2500, 0.7653]], "rho_kg_m3": 4277, "m_tot_mub_per_fu": 0.00, "energy_ev_per_atom": -5.500, "spacegroup": "P2_1/m (11)"}